A relaxed structure of Cs2Sr2Pd, computed with PBE.

Unit cell a=8.3444 b=8.3444 c=7.9498 alpha=90.00 beta=90.00 gamma=90.00
Space group P4/mbm (No. 127)
Symmetry-distinct sites (fractional):
Cs1 0.1906 0.3094 0.0000 [4 per cell]
Sr1 0.1838 0.6838 0.5000 [4 per cell]
Pd1 0.0000 0.0000 0.5000 [2 per cell]

- Spin magnetization: 0.00 μB per cell
- Calculated formation energy: 0.1 eV per formula unit
- D(E_F): 1.183 states/eV per atom

A relaxed structure of Cs3SrPd, computed with PBE.

Unit cell a=6.9834 b=6.9834 c=6.9834 alpha=90.00 beta=90.00 gamma=90.00
Space group Pm-3m (No. 221)
Symmetry-distinct sites (fractional):
Cs1 0.0000 0.0000 0.5000 [3 per cell]
Sr1 0.5000 0.5000 0.5000 [1 per cell]
Pd1 0.0000 0.0000 0.0000 [1 per cell]

- Spin magnetization: 1.00 μB per cell
- Calculated formation energy: 1.1 eV per formula unit
- D(E_F): 0.863 states/eV per atom

A relaxed structure of CsSr2TlPd, computed with PBE.

Unit cell a=6.0645 b=6.0645 c=5.5344 alpha=90.00 beta=90.00 gamma=90.00
Space group P4/mmm (No. 123)
Symmetry-distinct sites (fractional):
Cs1 0.0000 0.0000 0.0000 [1 per cell]
Sr1 0.0000 0.5000 0.5000 [2 per cell]
Tl1 0.5000 0.5000 0.0000 [1 per cell]
Pd1 0.5000 0.5000 0.5000 [1 per cell]

- Spin magnetization: 0.57 μB per cell
- Calculated formation energy: -1.0 eV per formula unit
- D(E_F): 0.784 states/eV per atom